Co2CuAgRh: relaxed, GGA-PBE.

Spin magnetization (μB per formula unit): 4.64
Polymorph energy (0 for the lowest one) (meV per atom): 0

Cell: 4.318 4.561 4.318 Å, 90.00 90.00 90.00°
Last column: magnetic moment on the atom in μB.
Sites, in units of the cell vectors:
Co: 0.500 0.000 0.000  1.59
Cu: 0.000 0.000 0.000  0.22
Ag: 0.500 0.500 0.500  0.02
Co: 0.000 0.000 0.500  2.43
Rh: 0.000 0.500 0.000  0.48

=====

Co2CuAgRh: relaxed, GGA-PBE.

Spin magnetization (μB per formula unit): 4.63
Polymorph energy (0 for the lowest one) (meV per atom): 663

Cell: 4.584 4.900 4.584 Å, 90.00 90.00 90.00°
Last column: magnetic moment on the atom in μB.
Sites, in units of the cell vectors:
Co: 0.000 0.000 0.500  2.68
Ag: 0.000 0.000 0.000  0.11
Rh: 0.000 0.500 0.000  0.38
Co: 0.500 0.000 0.000  1.47
Cu: 0.500 0.500 0.500  0.04

=====

TlCoCuAg2: relaxed, GGA-PBE.

Spin magnetization (μB per formula unit): 1.74

Cell: 4.946 4.509 4.946 Å, 90.00 90.00 90.00°
Last column: magnetic moment on the atom in μB.
Sites, in units of the cell vectors:
Ag: 0.000 0.000 0.500  0.03
Co: 0.000 0.000 0.000  1.68
Tl: 0.500 0.500 0.500  -0.02
Ag: 0.500 0.000 0.000  0.01
Cu: 0.000 0.500 0.000  0.15

=====

Dy2CoAg: relaxed, GGA-PBE.

Spin magnetization (μB per formula unit): 0.42
Polymorph energy (0 for the lowest one) (meV per atom): 63

Cell: 4.940 4.940 4.940 Å, 60.00 60.00 60.00°
Last column: magnetic moment on the atom in μB.
Sites, in units of the cell vectors:
Dy: 0.250 0.250 0.250  -0.11
Dy: 0.750 0.750 0.750  -0.11
Co: 0.500 0.500 0.500  0.71
Ag: 0.000 0.000 0.000  0.00

=====

Dy6Co2Ag: relaxed, GGA-PBE.

Spin magnetization (μB per formula unit): 0.00

Cell: 8.313 8.313 8.313 Å, 107.43 109.15 111.87°
Sites, in units of the cell vectors:
Dy: 0.793 0.780 0.573
Dy: 0.793 0.220 0.013
Dy: 0.207 0.780 0.987
Co: 0.500 0.614 0.114
Dy: 0.301 0.983 0.683
Dy: 0.107 0.292 0.815
Ag: 0.000 0.000 0.000
Dy: 0.524 0.708 0.815
Co: 0.500 0.386 0.886
Dy: 0.699 0.382 0.683
Co: 0.377 0.000 0.377
Dy: 0.301 0.618 0.317
Dy: 0.893 0.708 0.185
Dy: 0.476 0.292 0.185
Co: 0.623 0.000 0.623
Dy: 0.699 0.017 0.317
Dy: 0.207 0.220 0.427
Ag: 0.000 0.500 0.500

=====

Dy2CoAg: relaxed, GGA-PBE.

Spin magnetization (μB per formula unit): 0.00
Polymorph energy (0 for the lowest one) (meV per atom): 140

Cell: 3.819 3.819 7.832 Å, 75.89 75.89 60.00°
Sites, in units of the cell vectors:
Ag: 0.500 0.500 0.500
Dy: 0.267 0.267 0.199
Co: 0.000 0.000 0.000
Dy: 0.733 0.733 0.801

=====

Dy8CoAg2: relaxed, GGA-PBE.

Spin magnetization (μB per formula unit): 0.00
Polymorph energy (0 for the lowest one) (meV per atom): 18

Cell: 5.999 8.739 8.739 Å, 129.49 103.13 103.13°
Sites, in units of the cell vectors:
Dy: 0.284 0.843 0.620
Dy: 0.983 0.198 0.807
Dy: 0.284 0.620 0.843
Co: 0.278 0.005 0.005
Dy: 0.649 0.153 0.379
Dy: 0.149 0.277 0.277
Ag: 0.483 0.290 0.723
Dy: 0.775 0.739 0.739
Ag: 0.483 0.723 0.290
Dy: 0.983 0.807 0.198
Dy: 0.649 0.379 0.153

=====

Dy6CoAg: relaxed, GGA-PBE.

Spin magnetization (μB per formula unit): 0.00

Cell: 6.590 6.598 7.459 Å, 63.83 63.87 60.06°
Sites, in units of the cell vectors:
Dy: 0.946 0.588 0.233
Dy: 0.766 0.054 0.767
Dy: 0.234 0.946 0.233
Co: 0.000 0.000 0.000
Dy: 0.412 0.767 0.767
Dy: 0.588 0.233 0.233
Dy: 0.054 0.412 0.767
Ag: 0.500 0.500 0.500

=====

Dy6CoAg3: relaxed, GGA-PBE.

Spin magnetization (μB per formula unit): 0.00

Cell: 6.829 7.952 9.976 Å, 90.00 83.20 90.00°
Sites, in units of the cell vectors:
Dy: 0.834 0.951 0.242
Dy: 0.828 0.657 0.553
Dy: 0.166 0.049 0.758
Ag: 0.500 0.500 0.000
Dy: 0.672 0.157 0.947
Dy: 0.634 0.203 0.563
Dy: 0.134 0.297 0.063
Ag: 0.069 0.616 0.249
Ag: 0.000 0.000 0.500
Co: 0.000 0.000 0.000
Dy: 0.334 0.549 0.742
Ag: 0.931 0.384 0.751
Dy: 0.366 0.797 0.437
Dy: 0.666 0.451 0.258
Dy: 0.172 0.343 0.447
Ag: 0.431 0.116 0.251
Dy: 0.866 0.703 0.937
Ag: 0.569 0.884 0.749
Dy: 0.328 0.843 0.053
Co: 0.500 0.500 0.500

=====

Dy5Co4Ag: relaxed, GGA-PBE.

Spin magnetization (μB per formula unit): 1.32

Cell: 3.346 3.346 17.576 Å, 90.00 90.00 90.00°
Last column: magnetic moment on the atom in μB.
Sites, in units of the cell vectors:
Co: 0.000 0.000 0.788  0.62
Dy: 0.500 0.500 0.500  -0.19
Dy: 0.500 0.500 0.121  -0.15
Co: 0.000 0.000 0.595  0.57
Co: 0.000 0.000 0.212  0.62
Dy: 0.500 0.500 0.879  -0.15
Ag: 0.000 0.000 0.000  -0.01
Dy: 0.500 0.500 0.689  -0.18
Dy: 0.500 0.500 0.311  -0.18
Co: 0.000 0.000 0.405  0.57

=====

DyCoAg: relaxed, GGA-PBE.

Spin magnetization (μB per formula unit): 0.61

Cell: 3.902 4.895 6.598 Å, 101.18 107.20 90.00°
Last column: magnetic moment on the atom in μB.
Sites, in units of the cell vectors:
Ag: 0.427 0.218 0.854  -0.01
Dy: 0.128 0.329 0.255  -0.13
Co: 0.231 0.893 0.462  0.80
Dy: 0.872 0.671 0.745  -0.13
Ag: 0.573 0.782 0.146  -0.01
Co: 0.769 0.107 0.538  0.80

=====

DyCoAg: relaxed, GGA-PBE.

Spin magnetization (μB per formula unit): 0.60

Cell: 3.806 3.740 8.390 Å, 102.88 90.00 90.00°
Last column: magnetic moment on the atom in μB.
Sites, in units of the cell vectors:
Ag: 0.750 0.294 0.588  -0.01
Dy: 0.250 0.900 0.800  -0.14
Dy: 0.750 0.100 0.200  -0.14
Co: 0.750 0.466 0.931  0.80
Co: 0.250 0.534 0.069  0.80
Ag: 0.250 0.706 0.412  -0.01

=====

Q: Which total DFT energy (no corrections) values were calculated for the entries above? A: -22.58, -19.26, -15.43, -19.88, -92.96, -19.57, -50.75, -37.41, -89.29, -56.18, -29.98, -30.50, in eV for the cell shown.
Q: Which formation energy from the elements values were calculated for the entries above? A: 115, 179, 74, -17, -19, -10, -10, 2, -13, -18, -14, -22, in kJ per mole of atoms.
Q: Which density values were calculated for the entries above? A: 7659, 6324, 8171, 9578, 9031, 8601, 8736, 7837, 8382, 9759, 9278, 9395, in kg/m³.